1.
An optimized crystal structure of CdTeW2. Source: Alexandria, functional PBE-GGA.

## Properties
Space-group type: No. 166
Relative energy among the computed polymorphs (kJ/mol of formula units): 156
ΔE_f (raw) (meV/atom): 838
Size of the total moment (μB/f.u.): 0.0

Cell and atoms, written as extended XYZ:
```
4
Lattice="1.5381 0.8880 9.1284 -1.5381 0.8880 9.1284 0.0000 -1.7760 9.1284" Properties=species:S:1:pos:R:3 pbc="T T T"
Cd 0.0000 0.0000 0.0000
Te 0.0000 0.0000 13.6925
W 0.0000 0.0000 6.7111
W 0.0000 0.0000 20.6739
```

***

2.
An optimized crystal structure of AlCd2TcBr. Source: Alexandria, functional PBE-GGA.

## Properties
Space-group type: No. 123
ΔE_f (raw) (meV/atom): 554
Size of the total moment (μB/f.u.): 1.6

Cell and atoms, written as extended XYZ:
```
5
Lattice="5.4343 0.0000 0.0000 0.0000 5.4343 0.0000 0.0000 0.0000 4.7993" Properties=species:S:1:pos:R:3 pbc="T T T"
Al 0.0000 0.0000 0.0000
Cd 0.0000 2.7171 2.3996
Cd 2.7171 0.0000 2.3996
Tc 0.0000 0.0000 2.3996
Br 2.7171 2.7171 0.0000
```

***

3.
An optimized crystal structure of BeSbF2. Source: Alexandria, functional PBE-GGA.

## Properties
Space-group type: No. 227
Relative energy among the computed polymorphs (kJ/mol of formula units): 0
ΔE_f (raw) (meV/atom): -1925
Size of the total moment (μB/f.u.): 0.0

Cell and atoms, written as extended XYZ:
```
8
Lattice="0.0000 3.8083 3.8083 3.8083 0.0000 3.8083 3.8083 3.8083 0.0000" Properties=species:S:1:pos:R:3 pbc="T T T"
Be 0.9521 0.9521 0.9521
Be 6.6645 6.6645 6.6645
Sb 2.8562 2.8562 2.8562
Sb 4.7604 4.7604 4.7604
F 0.0000 0.0000 0.0000
F 1.9042 1.9042 0.0000
F 1.9042 0.0000 1.9042
F 0.0000 1.9042 1.9042
```

***

4.
An optimized crystal structure of Al2VRu. Source: Alexandria, functional PBE-GGA.

## Properties
Space-group type: No. 123
Relative energy among the computed polymorphs (kJ/mol of formula units): 29
DFT formation energy (eV/f.u.): -1.3
Size of the total moment (μB/f.u.): 0.0

Cell and atoms, written as extended XYZ:
```
4
Lattice="3.8327 0.0000 0.0000 0.0000 3.8327 0.0000 0.0000 0.0000 3.8542" Properties=species:S:1:pos:R:3 pbc="T T T"
Al 0.0000 1.9164 0.0000
Al 1.9164 0.0000 0.0000
V 0.0000 0.0000 1.9271
Ru 1.9164 1.9164 1.9271
```

***

5.
An optimized crystal structure of BaCdTeN2. Source: Alexandria, functional PBE-GGA.

## Properties
Space-group type: No. 123
Relative energy among the computed polymorphs (kJ/mol of formula units): 0
ΔE_f (raw) (meV/atom): 821
Size of the total moment (μB/f.u.): 4.0

Cell and atoms, written as extended XYZ:
```
5
Lattice="4.7886 0.0000 0.0000 0.0000 4.7886 0.0000 0.0000 0.0000 5.8044" Properties=species:S:1:pos:R:3 pbc="T T T"
Ba 0.0000 0.0000 0.0000
Cd 2.3943 2.3943 2.9022
Te 2.3943 2.3943 0.0000
N 0.0000 2.3943 2.9022
N 2.3943 0.0000 2.9022
```

***

6.
An optimized crystal structure of TmGaSn2Rh4. Source: Alexandria, functional PBE-GGA.

## Properties
Space-group type: No. 166
DFT formation energy (eV/f.u.): -5.4
Size of the total moment (μB/f.u.): 0.0

Cell and atoms, written as extended XYZ:
```
8
Lattice="2.2805 1.3166 7.5562 -2.2805 1.3166 7.5562 0.0000 -2.6333 7.5562" Properties=species:S:1:pos:R:3 pbc="T T T"
Tm 0.0000 0.0000 0.0000
Ga 0.0000 0.0000 11.3343
Sn 0.0000 0.0000 5.7153
Sn 0.0000 0.0000 16.9533
Rh 0.0000 0.0000 2.9536
Rh 0.0000 0.0000 8.8611
Rh 0.0000 0.0000 13.8075
Rh 0.0000 0.0000 19.7150
```